Crystalline Dy8Ga3Co at its relaxed geometry. Source: OQMD, functional GGA-PBE.

Cell and atoms, written as extended XYZ:
```
24
Lattice="10.028 0.000 0.000 -5.014 8.685 0.000 0.000 0.000 6.899" Properties=species:S:1:pos:R:3 pbc="T T T"
Dy 0.000 3.002 3.381
Dy 7.429 1.501 6.831
Dy 1.960 4.658 5.465
Dy 0.000 0.000 1.848
Dy 3.054 4.027 2.015
Dy 5.014 2.895 4.638
Dy -1.960 4.658 5.465
Dy 0.000 0.000 5.298
Dy 0.000 8.053 5.465
Dy 2.599 1.501 6.831
Dy -2.415 7.184 3.381
Dy 2.415 7.184 3.381
Dy 5.014 5.683 6.831
Dy 5.014 0.631 2.015
Dy 0.000 5.790 1.188
Dy 6.974 4.027 2.015
Co 0.000 5.790 3.854
Co 5.014 2.895 0.404
Ga 2.556 7.265 0.271
Ga 5.014 5.846 3.721
Ga 0.000 2.839 0.271
Ga 7.570 1.419 3.721
Ga 2.459 1.419 3.721
Ga -2.556 7.265 0.271
```

SG   P6_3mc (186)
Density   8.67 g cm⁻³
Electronic total energy   -115.7 eV for the cell shown

=====

Crystalline DyGa2Co at its relaxed geometry. Source: OQMD, functional GGA-PBE.

Cell and atoms, written as extended XYZ:
```
8
Lattice="4.042 0.370 8.164 -7.187 0.150 -5.608 -0.360 -3.936 0.356" Properties=species:S:1:pos:R:3 pbc="T T T"
Co -2.413 0.243 0.247
Co -0.732 0.276 2.309
Dy -5.761 -1.787 -3.459
Dy 2.255 -1.630 6.372
Ga -3.914 0.214 -1.593
Ga 0.000 0.000 0.000
Ga 0.769 0.305 4.149
Ga -1.753 -1.708 1.456
```

SG   Cmmm (65)
Density   8.32 g cm⁻³
Electronic total energy   -39.9 eV for the cell shown

=====

Crystalline GdDyGa2Co4 at its relaxed geometry. Source: OQMD, functional GGA-PBE.

Cell and atoms, written as extended XYZ:
```
8
Lattice="4.139 0.000 0.000 -2.070 3.585 0.000 0.000 0.000 9.191" Properties=species:S:1:pos:R:3 pbc="T T T"
Ga 0.000 2.390 6.921
Ga 0.000 2.390 2.269
Co 2.070 1.195 1.917
Co 0.000 0.000 6.576
Co 0.000 0.000 2.615
Co 2.070 1.195 7.274
Dy 0.000 0.000 0.000
Gd 2.070 1.195 4.595
```

SG   P-6m2 (187)
Density   8.46 g cm⁻³
Electronic total energy   -46.0 eV for the cell shown

=====

Crystalline Gd2DyGa3CoGe2 at its relaxed geometry. Source: OQMD, functional GGA-PBE.

Cell and atoms, written as extended XYZ:
```
9
Lattice="4.159 0.000 0.000 0.000 6.043 3.495 0.000 -6.043 3.495" Properties=species:S:1:pos:R:3 pbc="T T T"
Gd 0.000 -2.413 5.593
Gd 0.000 2.413 5.593
Ga 2.079 0.000 5.390
Ga 2.079 1.377 0.803
Ga 2.079 -1.377 0.803
Ge 2.079 -2.002 3.492
Ge 2.079 2.002 3.492
Co 0.000 0.000 0.011
Dy 0.000 0.000 2.786
```

SG   Amm2 (38)
Density   8.42 g cm⁻³
Electronic total energy   -45.6 eV for the cell shown

=====

Crystalline GdDy2Ga3CoGe2 at its relaxed geometry. Source: OQMD, functional GGA-PBE.

Cell and atoms, written as extended XYZ:
```
9
Lattice="-1.997 -2.926 -2.147 6.028 -3.354 -1.035 -3.890 -1.458 5.604" Properties=species:S:1:pos:R:3 pbc="T T T"
Ga 3.652 -4.052 -1.870
Ga -0.511 -2.561 -0.031
Ga -3.998 -2.589 3.250
Dy -1.552 -0.582 2.235
Dy 2.405 -1.338 -0.413
Ge -1.587 -3.551 2.319
Ge 1.727 -4.185 0.101
Gd 1.284 -2.891 2.744
Co 0.001 -0.003 0.002
```

SG   Amm2 (38)
Density   8.52 g cm⁻³
Electronic total energy   -45.6 eV for the cell shown

=====

Crystalline Dy4GaCo2Ge4 at its relaxed geometry. Source: OQMD, functional GGA-PBE.

Cell and atoms, written as extended XYZ:
```
11
Lattice="-0.278 4.257 -6.692 -2.780 0.923 -7.376 -4.748 2.695 4.237" Properties=species:S:1:pos:R:3 pbc="T T T"
Dy -4.167 3.778 -3.172
Dy -6.463 5.912 -5.176
Dy -1.343 1.963 -4.656
Dy -3.639 4.097 -6.659
Co -3.705 2.856 -0.368
Co -4.101 5.019 -9.464
Ge -1.937 1.811 -1.741
Ge -4.449 5.745 -11.733
Ge -5.869 6.065 -8.091
Ge -3.357 2.130 1.901
Ga 0.000 0.000 0.000
```

SG   C2/m (12)
Density   8.78 g cm⁻³
Electronic total energy   -62.1 eV for the cell shown

=====

Crystalline DyHo2Ga3CoGe2 at its relaxed geometry. Source: OQMD, functional GGA-PBE.

Cell and atoms, written as extended XYZ:
```
9
Lattice="4.121 0.000 0.000 0.000 6.010 3.468 0.000 -6.010 3.468" Properties=species:S:1:pos:R:3 pbc="T T T"
Ga 2.060 0.000 1.584
Ga 2.060 -4.636 2.677
Ga 2.060 4.636 2.677
Dy 0.000 0.000 4.167
Ge 2.060 2.006 3.467
Ge 2.060 -2.006 3.467
Ho 0.000 2.398 1.384
Ho 0.000 -2.398 1.384
Co 0.000 0.000 0.002
```

SG   Amm2 (38)
Density   8.76 g cm⁻³
Electronic total energy   -45.5 eV for the cell shown

=====

Crystalline TbDy2Ga3CoGe2 at its relaxed geometry. Source: OQMD, functional GGA-PBE.

Cell and atoms, written as extended XYZ:
```
9
Lattice="-4.007 -0.678 -0.777 -0.213 -4.662 5.169 -1.385 6.702 1.293" Properties=species:S:1:pos:R:3 pbc="T T T"
Dy -0.553 2.674 0.516
Dy -0.085 -1.860 2.063
Ga -3.072 4.830 0.610
Ga -2.369 0.127 1.087
Ga -2.168 -3.935 3.600
Ge -2.607 -1.217 3.489
Ge -2.998 2.577 2.194
Co -0.001 0.001 0.003
Tb -0.960 1.225 3.881
```

SG   Amm2 (38)
Density   8.57 g cm⁻³
Electronic total energy   -45.6 eV for the cell shown

=====

Crystalline DyHoGa2Co4 at its relaxed geometry. Source: OQMD, functional GGA-PBE.

Cell and atoms, written as extended XYZ:
```
8
Lattice="-0.493 -3.118 2.659 0.068 -0.741 -4.060 8.994 -1.119 0.355" Properties=species:S:1:pos:R:3 pbc="T T T"
Co 6.346 -0.790 0.250
Co 6.811 -3.212 0.700
Co 1.571 -2.559 0.494
Co 2.648 -0.330 0.104
Ho 4.191 -2.885 0.597
Dy 0.000 0.000 0.000
Ga 6.616 -2.372 -1.555
Ga 2.140 -1.815 -1.731
```

SG   P-6m2 (187)
Density   8.72 g cm⁻³
Electronic total energy   -46.0 eV for the cell shown

=====

Crystalline Dy3GaCoS7 at its relaxed geometry. Source: OQMD, functional GGA-PBE.

Cell and atoms, written as extended XYZ:
```
24
Lattice="-5.693 -6.100 4.578 9.451 -0.893 0.671 -0.001 3.686 4.911" Properties=species:S:1:pos:R:3 pbc="T T T"
S 2.607 0.042 7.217
S 1.387 0.018 2.055
S 7.702 -0.373 2.349
S 4.424 2.500 5.373
S 6.176 0.012 7.240
S 2.371 -3.181 8.296
S -0.363 1.388 4.866
S 1.150 -1.918 4.849
S -0.667 -4.375 6.693
S 4.403 -0.905 4.270
S -2.419 -1.888 4.826
S -3.944 -2.790 8.002
S -0.646 -0.797 8.027
S 4.120 -4.551 5.485
Dy -0.657 -1.775 2.673
Dy 1.467 -4.685 4.857
Dy 4.414 -2.087 6.747
Dy 2.290 0.823 4.562
Dy -2.746 -4.701 4.869
Dy 6.503 0.839 4.550
Ga 4.403 -2.257 2.469
Ga -0.645 -2.149 6.227
Co 0.000 0.057 0.076
Co 0.000 1.900 2.532
```

SG   P6_3 (173)
Density   5.80 g cm⁻³
Electronic total energy   -140.8 eV for the cell shown

=====

Crystalline Dy3GaCoSe7 at its relaxed geometry. Source: OQMD, functional GGA-PBE.

Cell and atoms, written as extended XYZ:
```
24
Lattice="-8.267 3.489 -4.319 7.621 -3.100 -5.611 -2.490 -5.991 -0.073" Properties=species:S:1:pos:R:3 pbc="T T T"
Se -2.822 -4.227 -1.749
Se 0.231 -1.983 -1.718
Se -8.380 -1.885 -4.380
Se -5.362 -0.796 -6.458
Se -5.382 -4.508 -4.820
Se 1.159 -3.709 -5.214
Se -4.771 -1.087 -2.727
Se 1.271 -7.101 -3.573
Se -2.010 -5.722 -4.869
Se 5.137 -3.975 -5.625
Se -3.475 -3.877 -8.288
Se -2.080 -2.176 -5.161
Se 0.680 -6.811 -7.304
Se -0.421 -1.633 -8.257
Co -1.291 -3.105 -0.038
Co -0.046 -0.110 -0.001
Dy -0.880 -4.288 -7.162
Dy -2.617 -0.052 -7.167
Dy -1.881 -0.411 -2.830
Dy 2.959 -5.902 -5.701
Dy -0.144 -4.647 -2.825
Dy -5.720 1.202 -4.290
Ga 2.082 -1.489 -5.187
Ga -4.460 -2.289 -4.793
```

SG   P6_3 (173)
Density   6.97 g cm⁻³
Electronic total energy   -127.3 eV for the cell shown

=====

Crystalline DyTmGa2Co4 at its relaxed geometry. Source: OQMD, functional GGA-PBE.

Cell and atoms, written as extended XYZ:
```
8
Lattice="4.105 0.000 0.000 -2.052 3.555 0.000 0.000 0.000 8.777" Properties=species:S:1:pos:R:3 pbc="T T T"
Tm 0.000 0.000 4.388
Dy 0.000 2.370 0.000
Ga 2.052 1.185 6.566
Ga 2.052 1.185 2.211
Co 0.000 0.000 7.108
Co 0.000 2.370 2.769
Co 0.000 0.000 1.669
Co 0.000 2.370 6.007
```

SG   P-6m2 (187)
Density   9.16 g cm⁻³
Electronic total energy   -45.8 eV for the cell shown

=====

Crystalline DyTmGaCo2 at its relaxed geometry. Source: OQMD, functional GGA-PBE.

Cell and atoms, written as extended XYZ:
```
5
Lattice="-3.562 -1.128 0.941 1.924 -0.692 6.452 0.716 2.831 6.106" Properties=species:S:1:pos:R:3 pbc="T T T"
Co 0.330 1.145 10.510
Co -1.257 -0.140 2.961
Dy 0.969 0.785 4.610
Ga -1.777 -0.562 0.486
Tm 1.674 1.355 7.961
```

SG   Amm2 (38)
Density   9.19 g cm⁻³
Electronic total energy   -28.2 eV for the cell shown

=====

Crystalline DyYGa2Co4 at its relaxed geometry. Source: OQMD, functional GGA-PBE.

Cell and atoms, written as extended XYZ:
```
8
Lattice="4.133 0.000 0.000 -2.066 3.579 0.000 0.000 0.000 9.113" Properties=species:S:1:pos:R:3 pbc="T T T"
Co 0.000 2.386 2.642
Co 0.000 2.386 6.471
Co 0.000 0.000 7.233
Co 0.000 0.000 1.880
Ga 2.066 1.193 6.834
Ga 2.066 1.193 2.280
Y 0.000 0.000 4.557
Dy 0.000 2.386 0.000
```

SG   P-6m2 (187)
Density   7.72 g cm⁻³
Electronic total energy   -47.9 eV for the cell shown

=====

Crystalline GdDyCo2 at its relaxed geometry. Source: OQMD, functional GGA-PBE.

Cell and atoms, written as extended XYZ:
```
8
Lattice="-2.379 -1.541 -2.672 -3.408 -1.713 4.023 -3.681 6.379 -0.402" Properties=species:S:1:pos:R:3 pbc="T T T"
Co -5.128 1.128 1.075
Co -0.621 -0.085 0.602
Co -5.970 4.820 -0.305
Co -4.832 1.913 3.198
Gd -7.181 2.987 1.830
Gd -2.822 1.063 -0.940
Dy -3.759 3.694 1.216
Dy -2.804 0.059 2.463
```

SG   Pmc2_1 (26)
Density   9.12 g cm⁻³
Formation energy from the elements   -0.18 eV/atom

=====

Crystalline Gd2Dy3HoCoS2 at its relaxed geometry. Source: OQMD, functional GGA-PBE.

Cell and atoms, written as extended XYZ:
```
9
Lattice="-2.750 2.569 -0.306 -2.457 -1.754 7.343 5.430 5.670 -1.181" Properties=species:S:1:pos:R:3 pbc="T T T"
Dy 3.445 6.516 0.465
Dy -2.499 0.921 6.888
Dy 0.871 4.243 4.501
Gd 0.706 1.549 6.649
Gd 3.995 4.645 3.095
S 1.416 4.470 1.512
S -1.197 2.010 4.335
Co 0.030 0.040 0.062
Ho 1.224 1.612 2.536
```

SG   Amm2 (38)
Density   8.82 g cm⁻³
Electronic total energy   -49.9 eV for the cell shown

=====

Crystalline Gd2Dy3HoCoSe2 at its relaxed geometry. Source: OQMD, functional GGA-PBE.

Cell and atoms, written as extended XYZ:
```
9
Lattice="-3.785 0.088 0.499 -0.501 -7.744 -2.439 1.078 1.794 7.861" Properties=species:S:1:pos:R:3 pbc="T T T"
Dy -2.134 -7.251 -0.303
Dy -0.937 -0.019 7.506
Dy -1.454 -4.478 4.370
Se -1.343 -1.350 4.659
Se -1.866 -4.503 1.253
Gd 0.131 -6.690 2.172
Gd 0.784 -2.749 6.429
Co 0.007 -0.075 0.068
Ho 0.234 -2.416 2.201
```

SG   Amm2 (38)
Density   9.03 g cm⁻³
Electronic total energy   -48.7 eV for the cell shown

=====

Crystalline Gd2Dy3HoCoTe2 at its relaxed geometry. Source: OQMD, functional GGA-PBE.

Cell and atoms, written as extended XYZ:
```
9
Lattice="3.940 0.000 0.000 0.000 7.286 4.179 0.000 -7.286 4.179" Properties=species:S:1:pos:R:3 pbc="T T T"
Dy 1.970 -5.562 5.152
Dy 1.970 5.562 5.152
Dy 1.970 0.000 6.390
Gd 0.000 4.360 2.505
Gd 0.000 -4.360 2.505
Ho 0.000 0.000 3.296
Co 0.000 0.000 0.085
Te 1.970 -2.404 4.173
Te 1.970 2.404 4.173
```

SG   Amm2 (38)
Density   8.87 g cm⁻³
Electronic total energy   -47.2 eV for the cell shown

=====

Crystalline GdDy2Ho3CoTe2 at its relaxed geometry. Source: OQMD, functional GGA-PBE.

Cell and atoms, written as extended XYZ:
```
9
Lattice="3.233 0.000 0.000 0.000 8.130 4.715 0.000 -8.130 4.715" Properties=species:S:1:pos:R:3 pbc="T T T"
Ho 0.000 -2.621 1.525
Ho 0.000 0.000 6.382
Ho 0.000 2.621 1.525
Co 0.000 0.000 9.412
Gd 0.000 0.000 3.096
Te 0.000 2.719 4.720
Te 0.000 -2.719 4.720
Dy 0.000 -2.658 7.887
Dy 0.000 2.658 7.887
```

SG   Amm2 (38)
Density   8.65 g cm⁻³
Electronic total energy   -38.4 eV for the cell shown

=====

Crystalline GdDyInCo2 at its relaxed geometry. Source: OQMD, functional GGA-PBE.

Cell and atoms, written as extended XYZ:
```
5
Lattice="3.918 0.000 0.000 0.000 1.916 6.904 0.000 -1.916 6.904" Properties=species:S:1:pos:R:3 pbc="T T T"
Co 0.000 0.000 10.958
Co 0.000 0.000 2.865
Gd 1.959 0.000 8.815
In 0.000 0.000 13.798
Dy 1.959 0.000 4.988
```

SG   Amm2 (38)
Density   8.85 g cm⁻³
Electronic total energy   -27.9 eV for the cell shown

=====

Crystalline Gd2DyIn3Co3 at its relaxed geometry. Source: OQMD, functional GGA-PBE.

Cell and atoms, written as extended XYZ:
```
9
Lattice="3.868 0.000 0.000 0.000 6.390 3.684 0.000 -6.390 3.684" Properties=species:S:1:pos:R:3 pbc="T T T"
In 1.934 1.606 6.433
In 1.934 -1.606 6.433
In 1.934 0.000 1.868
Co 1.934 2.123 3.685
Co 0.000 0.000 7.363
Co 1.934 -2.123 3.685
Gd 0.000 3.767 5.196
Gd 0.000 -3.767 5.196
Dy 0.000 0.000 4.351
```

SG   Amm2 (38)
Density   9.10 g cm⁻³
Electronic total energy   -46.0 eV for the cell shown

=====

Crystalline KGdDyCo2 at its relaxed geometry. Source: OQMD, functional GGA-PBE.

Cell and atoms, written as extended XYZ:
```
5
Lattice="3.858 0.000 0.000 0.000 1.950 8.891 0.000 -1.950 8.891" Properties=species:S:1:pos:R:3 pbc="T T T"
K 1.929 0.000 0.021
Co 1.929 0.000 3.904
Co 1.929 0.000 13.844
Gd 0.000 0.000 5.933
Dy 0.000 0.000 11.859
```

SG   Amm2 (38)
Density   5.92 g cm⁻³
Electronic total energy   -24.3 eV for the cell shown